20
Lattice="6.8218 0.0000 -0.0138 0.0000 8.1713 0.0000 0.0965 0.0000 10.3406" Properties=species:S:1:pos:R:3 comment="Th6PdAu3 PBE optimized geometry" magnetic_moment_mub_per_fu=0.00 e_form_ev_per_atom=-0.35 crystal_system=monoclinic sg="P2_1/c, No. 14" dos_at_fermi_per_ev_fu=12.325 pbc="T T T"
Th 4.4075 1.2955 9.6202
Th 4.3178 1.4115 5.9025
Th 4.7361 3.6487 2.6251
Th 2.1822 4.5226 7.7018
Th 2.6005 6.7598 4.4243
Th 2.5108 6.8758 0.7067
Th 0.9483 2.7902 4.4568
Th 0.8586 2.6741 0.7391
Th 1.3735 0.4370 7.8022
Th 5.5449 7.7344 2.5246
Th 6.0597 5.4972 9.5877
Th 5.9700 5.3811 5.8701
Pd 3.4592 4.0857 5.1634
Pd 0.0000 0.0000 0.0000
Au 4.0499 7.0139 7.7181
Au 3.4109 4.0857 -0.0069
Au 2.8684 1.1574 2.6088
Au 0.5907 5.2431 2.5547
Au 0.0482 0.0000 5.1703
Au 6.3276 2.9282 7.7722